CrSb2Se | PBE | relaxed

Calculated values
Its density of states at the Fermi level is 2.5 states/eV per cell. Its energy above the most stable polymorph in this dataset is 41 meV/atom. The total energy comes out at -5.2643 eV per atom. The calculation puts the formation energy from raw total energies at 0.074 eV per atom.

Unit cell a=4.600 b=4.600 c=6.640 alpha=107.27 beta=107.27 gamma=41.56
Fractional positions:
Cr 0.000 0.000 0.000
Sb 0.365 0.365 0.653
Sb 0.558 0.558 0.350
Se 0.709 0.709 0.998

***

CrSb3Se | PBE | relaxed

Calculated values
Its density of states at the Fermi level is 2.2 states/eV per cell. Its energy above the most stable polymorph in this dataset is 0 meV/atom. The total energy comes out at -4.8220 eV per atom. The calculation puts the formation energy from raw total energies at 0.273 eV per atom.

Unit cell a=4.967 b=4.967 c=4.967 alpha=90.00 beta=90.00 gamma=90.00
Fractional positions:
Cr 0.000 0.000 0.000
Sb 0.000 0.000 0.500
Sb 0.000 0.500 0.000
Sb 0.500 0.000 0.000
Se 0.500 0.500 0.500

***

Cr2SbSe | PBE | relaxed

Calculated values
Its density of states at the Fermi level is 2.7 states/eV per cell. Its energy above the most stable polymorph in this dataset is 277 meV/atom. The total energy comes out at -6.4521 eV per atom. The calculation puts the formation energy from raw total energies at 0.261 eV per atom.

Unit cell a=4.814 b=4.814 c=3.316 alpha=90.12 beta=90.12 gamma=90.02
Fractional positions:
Cr 0.000 0.500 0.000
Cr 0.500 0.000 0.000
Sb 0.000 0.000 0.500
Se 0.500 0.500 0.500

***

Cr2SbSe | PBE | relaxed

Calculated values
Its density of states at the Fermi level is 2.3 states/eV per cell. Its energy above the most stable polymorph in this dataset is 154 meV/atom. The total energy comes out at -6.5743 eV per atom. The calculation puts the formation energy from raw total energies at 0.139 eV per atom.

Unit cell a=7.045 b=7.045 c=7.045 alpha=153.85 beta=145.43 gamma=43.85
Fractional positions:
Cr 0.000 0.000 0.000
Cr 0.605 0.105 0.500
Sb 0.192 0.692 0.500
Se 0.459 0.459 0.000

***

CrSbSe3 | PBE | relaxed

Calculated values
Its density of states at the Fermi level is 0.3 states/eV per cell. Its energy above the most stable polymorph in this dataset is 26 meV/atom. The total energy comes out at -5.2204 eV per atom. The calculation puts the formation energy from raw total energies at -0.381 eV per atom.

Unit cell a=6.795 b=3.831 c=10.168 alpha=90.00 beta=90.35 gamma=90.00
Fractional positions:
Cr 0.073 0.250 0.342
Cr 0.927 0.750 0.658
Sb 0.419 0.250 0.685
Sb 0.581 0.750 0.315
Se 0.070 0.250 0.802
Se 0.204 0.750 0.489
Se 0.383 0.250 0.182
Se 0.617 0.750 0.818
Se 0.796 0.250 0.511
Se 0.930 0.750 0.198

***

Cr2SbSe | PBE | relaxed

Calculated values
Its density of states at the Fermi level is 3.4 states/eV per cell. Its energy above the most stable polymorph in this dataset is 187 meV/atom. The total energy comes out at -6.5416 eV per atom. The calculation puts the formation energy from raw total energies at 0.172 eV per atom.

Unit cell a=7.341 b=7.341 c=7.341 alpha=132.45 beta=132.45 gamma=69.52
Fractional positions:
Cr 0.095 0.625 0.970
Cr 0.375 0.345 0.470
Cr 0.655 0.125 0.030
Cr 0.875 0.905 0.530
Sb 0.250 0.750 0.500
Sb 0.500 0.500 0.000
Se 0.000 0.000 0.000
Se 0.750 0.250 0.500

***

CrSb2Se | PBE | relaxed

Calculated values
Its density of states at the Fermi level is 5.5 states/eV per cell. Its energy above the most stable polymorph in this dataset is 735 meV/atom. The total energy comes out at -4.5705 eV per atom. The calculation puts the formation energy from raw total energies at 0.768 eV per atom.

Unit cell a=4.873 b=4.873 c=4.873 alpha=60.00 beta=60.00 gamma=60.00
Fractional positions:
Cr 0.000 0.000 0.000
Sb 0.250 0.250 0.250
Sb 0.750 0.750 0.750
Se 0.500 0.500 0.500

***

CrSb2Se | PBE | relaxed

Calculated values
Its density of states at the Fermi level is 3.1 states/eV per cell. Its energy above the most stable polymorph in this dataset is 216 meV/atom. The total energy comes out at -5.0894 eV per atom. The calculation puts the formation energy from raw total energies at 0.249 eV per atom.

Unit cell a=7.663 b=7.663 c=7.663 alpha=28.86 beta=28.86 gamma=28.86
Fractional positions:
Cr 0.000 0.000 0.000
Sb 0.258 0.258 0.258
Sb 0.742 0.742 0.742
Se 0.500 0.500 0.500

***

CrSb3Se | PBE | relaxed

Calculated values
Its density of states at the Fermi level is 8.6 states/eV per cell. Its energy above the most stable polymorph in this dataset is 1096 meV/atom. The total energy comes out at -3.7255 eV per atom. The calculation puts the formation energy from raw total energies at 1.369 eV per atom.

Unit cell a=5.334 b=5.334 c=5.334 alpha=90.00 beta=90.00 gamma=90.00
Fractional positions:
Cr 0.000 0.000 0.000
Sb 0.000 0.500 0.500
Sb 0.500 0.000 0.500
Sb 0.500 0.500 0.000
Se 0.500 0.500 0.500

***

CrSb2Se | PBE | relaxed

Calculated values
Its density of states at the Fermi level is 2.1 states/eV per cell. Its energy above the most stable polymorph in this dataset is 280 meV/atom. The total energy comes out at -5.0251 eV per atom. The calculation puts the formation energy from raw total energies at 0.313 eV per atom.

Unit cell a=3.456 b=5.033 c=5.273 alpha=90.00 beta=90.00 gamma=90.00
Fractional positions:
Cr 0.000 0.000 0.000
Sb 0.000 0.500 0.500
Sb 0.500 0.500 0.000
Se 0.500 0.000 0.500

***

Cr2SbSe | PBE | relaxed

Calculated values
Its density of states at the Fermi level is 1.1 states/eV per cell. Its energy above the most stable polymorph in this dataset is 0 meV/atom. The total energy comes out at -6.7286 eV per atom. The calculation puts the formation energy from raw total energies at -0.015 eV per atom.

Unit cell a=3.180 b=3.854 c=7.037 alpha=90.00 beta=90.00 gamma=90.00
Fractional positions:
Cr 0.000 0.000 0.000
Cr 0.500 0.500 0.031
Sb 0.000 0.500 0.724
Se 0.500 0.000 0.257

***

CrSb2Se | PBE | relaxed

Calculated values
Its density of states at the Fermi level is 2.9 states/eV per cell. Its energy above the most stable polymorph in this dataset is 23 meV/atom. The total energy comes out at -5.2822 eV per atom. The calculation puts the formation energy from raw total energies at 0.056 eV per atom.

Unit cell a=9.283 b=9.283 c=9.283 alpha=20.77 beta=20.77 gamma=20.77
Fractional positions:
Cr 0.000 0.000 0.000
Sb 0.496 0.496 0.496
Sb 0.736 0.736 0.736
Se 0.280 0.280 0.280

***

CrSb4Se | PBE | relaxed

Calculated values
Its density of states at the Fermi level is 3.9 states/eV per cell. The total energy comes out at -4.3193 eV per atom. The calculation puts the formation energy from raw total energies at 0.614 eV per atom.

Unit cell a=6.155 b=6.155 c=6.155 alpha=60.00 beta=60.00 gamma=60.00
Fractional positions:
Cr 0.000 0.000 0.000
Sb 0.127 0.624 0.624
Sb 0.624 0.127 0.624
Sb 0.624 0.624 0.127
Sb 0.624 0.624 0.624
Se 0.250 0.250 0.250

***

CrSbSe3 | PBE | relaxed

Calculated values
Its energy above the most stable polymorph in this dataset is 0 meV/atom. The total energy comes out at -5.2467 eV per atom. The calculation puts the formation energy from raw total energies at -0.407 eV per atom.

Unit cell a=9.380 b=3.846 c=13.455 alpha=90.00 beta=90.00 gamma=90.00
Fractional positions:
Cr 0.157 0.250 0.042
Cr 0.343 0.750 0.542
Cr 0.657 0.250 0.458
Cr 0.843 0.750 0.958
Sb 0.028 0.250 0.656
Sb 0.472 0.750 0.156
Sb 0.528 0.250 0.844
Sb 0.972 0.750 0.344
Se 0.004 0.750 0.106
Se 0.175 0.250 0.482
Se 0.213 0.750 0.710
Se 0.287 0.250 0.210
Se 0.325 0.750 0.982
Se 0.496 0.250 0.606
Se 0.504 0.750 0.394
Se 0.675 0.250 0.018
Se 0.713 0.750 0.790
Se 0.787 0.250 0.290
Se 0.825 0.750 0.518
Se 0.996 0.250 0.894